Ac3Rh2Pb7, optimized geometry, DFT GGA-PBE; size of the total moment = 0.0000 μB/atom; crystal system = monoclinic; ΔH_f (0 K) = -423 meV/atom; D(E_F) = 0.582 states/eV/atom
1.0
4.9332 0.0000 0.0000
0.0000 4.8719 0.0000
-2.4658 0.0000 14.8025
Ac Rh Pb
3 2 7
Cartesian
0.0000 0.0000 0.0000
0.0051 2.4360 9.4438
2.4623 2.4360 5.3588
0.0021 0.0000 3.8400
2.4653 0.0000 10.9625
-0.0015 2.4360 2.5710
-0.0006 0.0000 6.5037
-0.0003 0.0000 12.2154
2.4666 2.4360 0.0000
2.4677 0.0000 2.5872
2.4680 0.0000 8.2988
2.4689 2.4360 12.2316